# LaZr2BeF | Alexandria | meta-GGA SCAN | single point on PBEsol structure
# - uncorrected formation energy (eV/atom) = -0.435
# - total magnetization (μB/atom) = 0.000
# - E (eV/atom) = -22.9141
data_LaZr2BeF
_chemical_formula_sum 'La1 Zr2 Be1 F1'
_symmetry_space_group_name_H-M 'P 4/m m m'
_symmetry_Int_Tables_number 123
_symmetry_space_group_name_Hall '-P 4 2'
_cell_length_a 4.504
_cell_length_b 4.504
_cell_length_c 4.700
_cell_angle_alpha 90.00
_cell_angle_beta 90.00
_cell_angle_gamma 90.00
loop_
_atom_site_label
_atom_site_fract_x
_atom_site_fract_y
_atom_site_fract_z
La1 0.000 0.000 0.000
Zr1 0.000 0.500 0.500
Be1 0.500 0.500 0.000
F1 0.500 0.500 0.500